1.
SrIr3Rh at its PBEsol-relaxed geometry, computed with meta-GGA SCAN.

Lattice parameters (Å, degrees): 4.7385 4.7385 4.7385 90.00 90.00 90.00
Closest atoms and distances in Å follow each position.
Atoms (fractional coordinates):
Sr: 0.0000 0.0000 0.0000  12 Ir 3.35
Ir: 0.0000 0.5000 0.5000  2 Rh 2.37
Ir: 0.5000 0.0000 0.5000  2 Rh 2.37
Ir: 0.5000 0.5000 0.0000  2 Rh 2.37
Rh: 0.5000 0.5000 0.5000  6 Ir 2.37

Results
Energy relative to the elements: 1.111 eV per atom
Final energy: -52.76 eV per atom

=====

2.
Sr2IrRh at its PBEsol-relaxed geometry, computed with meta-GGA SCAN.

Lattice parameters (Å, degrees): 3.3046 4.0258 6.5369 90.00 90.00 90.00
Closest atoms and distances in Å follow each position.
Atoms (fractional coordinates):
Sr: 0.0000 0.0000 0.2487  4 Ir 3.07, 4 Rh 3.08, 4 Sr 3.25-3.30
Sr: 0.0000 0.0000 0.7513  4 Ir 3.07, 4 Rh 3.08, 4 Sr 3.25-3.30
Ir: 0.5000 0.5000 0.0000  8 Sr 3.07, 2 Rh 3.27, 2 Ir 3.30
Rh: 0.5000 0.5000 0.5000  8 Sr 3.08, 2 Ir 3.27, 2 Rh 3.30

Results
Energy relative to the elements: 0.127 eV per atom
Offset from the most stable computed form: 456 meV per atom
Final energy: -37.23 eV per atom

=====

3.
Ta2IrRh at its PBEsol-relaxed geometry, computed with meta-GGA SCAN.

Lattice parameters (Å, degrees): 4.7611 4.7611 2.8504 90.00 90.00 106.67
Closest atoms and distances in Å follow each position.
Atoms (fractional coordinates):
Ta: 0.0000 0.5000 0.0000  4 Rh 2.77, 4 Ir 2.77, 4 Ta 2.84-2.85
Ta: 0.5000 0.0000 0.0000  4 Rh 2.77, 4 Ir 2.77, 4 Ta 2.84-2.85
Ir: 0.0000 0.0000 0.5000  8 Ta 2.77, 2 Rh 2.84, 2 Ir 2.85
Rh: 0.5000 0.5000 0.5000  8 Ta 2.77, 2 Ir 2.84, 2 Rh 2.85

Results
Energy relative to the elements: -0.658 eV per atom
Final energy: -60.17 eV per atom

=====

4.
Ta2IrRh at its PBEsol-relaxed geometry, computed with meta-GGA SCAN.

Lattice parameters (Å, degrees): 4.0294 4.0294 3.8149 90.00 90.00 90.00
Closest atoms and distances in Å follow each position.
Atoms (fractional coordinates):
Ta: 0.0000 0.5000 0.0000  4 Rh 2.77, 4 Ir 2.77, 4 Ta 2.85
Ta: 0.5000 0.0000 0.0000  4 Rh 2.77, 4 Ir 2.77, 4 Ta 2.85
Ir: 0.0000 0.0000 0.5000  8 Ta 2.77, 4 Rh 2.85
Rh: 0.5000 0.5000 0.5000  8 Ta 2.77, 4 Ir 2.85

Results
Energy relative to the elements: -0.659 eV per atom
Final energy: -60.17 eV per atom

=====

5.
TaIr2Rh at its PBEsol-relaxed geometry, computed with meta-GGA SCAN.

Lattice parameters (Å, degrees): 4.6967 4.6967 2.8021 90.00 90.00 108.70
Closest atoms and distances in Å follow each position.
Atoms (fractional coordinates):
Ta: 0.0000 0.0000 0.0000  8 Ir 2.73, 2 Rh 2.74, 2 Ta 2.80
Ir: 0.0000 0.5000 0.5000  4 Rh 2.73, 4 Ta 2.73, 4 Ir 2.74-2.80
Ir: 0.5000 0.0000 0.5000  4 Rh 2.73, 4 Ta 2.73, 4 Ir 2.74-2.80
Rh: 0.5000 0.5000 0.0000  8 Ir 2.73, 2 Ta 2.74, 2 Rh 2.80

Results
Energy relative to the elements: -0.499 eV per atom
Offset from the most stable computed form: 292 meV per atom
Final energy: -61.14 eV per atom

=====

6.
TaIrRh2 at its PBEsol-relaxed geometry, computed with meta-GGA SCAN.

Lattice parameters (Å, degrees): 2.7695 3.8083 5.5071 90.00 90.00 90.00
Closest atoms and distances in Å follow each position.
Atoms (fractional coordinates):
Ta: 0.0000 0.0000 0.0000  6 Rh 2.74-2.77, 4 Ir 2.76, 2 Ta 2.77
Ir: 0.5000 0.5000 0.2609  6 Rh 2.66-2.85, 4 Ta 2.76, 2 Ir 2.77
Rh: 0.0000 0.0000 0.5022  6 Rh 2.70-2.77, 4 Ir 2.70, 2 Ta 2.74-2.77
Rh: 0.5000 0.5000 0.7431  2 Ir 2.66-2.85, 6 Rh 2.70-2.77, 4 Ta 2.75

Results
Energy relative to the elements: -0.450 eV per atom
Offset from the most stable computed form: 287 meV per atom
Final energy: -51.76 eV per atom

=====

7.
Ta2IrRh at its PBEsol-relaxed geometry, computed with meta-GGA SCAN.

Lattice parameters (Å, degrees): 2.8152 4.5771 4.8784 90.00 95.51 90.00
Closest atoms and distances in Å follow each position.
Atoms (fractional coordinates):
Ta: 0.0000 0.0000 0.0000  3 Rh 2.61-2.81, 4 Ir 2.70-2.83, 2 Ta 2.82
Ta: 0.1654 0.5000 0.6241  3 Ir 2.63-2.79, 4 Rh 2.70-2.82, 2 Ta 2.82
Ir: 0.5678 0.5000 0.1327  7 Ta 2.63-2.83, 2 Ir 2.82, 2 Rh 2.88
Rh: 0.6019 0.0000 0.4932  7 Ta 2.61-2.82, 2 Rh 2.82, 2 Ir 2.88

Results
Energy relative to the elements: -0.656 eV per atom
Final energy: -60.17 eV per atom

=====

8.
Ta2IrRh at its PBEsol-relaxed geometry, computed with meta-GGA SCAN.

Lattice parameters (Å, degrees): 2.8443 3.8282 5.6872 90.00 90.00 90.00
Closest atoms and distances in Å follow each position.
Atoms (fractional coordinates):
Ta: 0.0000 0.0000 0.2495  4 Ir 2.77, 4 Rh 2.78, 4 Ta 2.84-2.85
Ta: 0.0000 0.0000 0.7505  4 Ir 2.77, 4 Rh 2.78, 4 Ta 2.84-2.85
Ir: 0.5000 0.5000 0.0000  8 Ta 2.77, 2 Rh 2.84, 2 Ir 2.84
Rh: 0.5000 0.5000 0.5000  8 Ta 2.78, 2 Ir 2.84, 2 Rh 2.84

Results
Energy relative to the elements: -0.654 eV per atom
Final energy: -60.16 eV per atom

=====

9.
Ta2IrRh at its PBEsol-relaxed geometry, computed with meta-GGA SCAN.

Lattice parameters (Å, degrees): 3.2910 3.2910 5.8837 90.00 90.00 90.00
Closest atoms and distances in Å follow each position.
Atoms (fractional coordinates):
Ta: 0.0000 0.0000 0.0000  4 Rh 2.61, 1 Ir 2.87
Ta: 0.5000 0.5000 0.3036  4 Ir 2.63, 1 Rh 2.91, 4 Ta 2.93
Ir: 0.0000 0.0000 0.5124  5 Ta 2.63-2.87, 4 Rh 2.87
Rh: 0.5000 0.5000 0.7975  5 Ta 2.61-2.91, 4 Ir 2.87

Results
Energy relative to the elements: -0.474 eV per atom
Final energy: -59.98 eV per atom

=====

10.
TaIrRh2 at its PBEsol-relaxed geometry, computed with meta-GGA SCAN.

Lattice parameters (Å, degrees): 4.6745 2.7968 4.6860 90.00 108.75 90.00
Closest atoms and distances in Å follow each position.
Atoms (fractional coordinates):
Ta: 0.0000 0.0000 0.0000  6 Rh 2.72-2.73, 4 Ir 2.73, 2 Ta 2.80
Ir: 0.0000 0.5000 0.5000  6 Rh 2.72-2.73, 4 Ta 2.73, 2 Ir 2.80
Rh: 0.5000 0.0000 0.5000  4 Ir 2.72, 2 Ta 2.73, 6 Rh 2.73-2.80
Rh: 0.5000 0.5000 0.0000  4 Ta 2.72, 2 Ir 2.73, 6 Rh 2.73-2.80

Results
Energy relative to the elements: -0.462 eV per atom
Offset from the most stable computed form: 275 meV per atom
Final energy: -51.77 eV per atom

=====

Copy entry 1 word for word.
SrIr3Rh at its PBEsol-relaxed geometry, computed with meta-GGA SCAN.

Lattice parameters (Å, degrees): 4.7385 4.7385 4.7385 90.00 90.00 90.00
Closest atoms and distances in Å follow each position.
Atoms (fractional coordinates):
Sr: 0.0000 0.0000 0.0000  12 Ir 3.35
Ir: 0.0000 0.5000 0.5000  2 Rh 2.37
Ir: 0.5000 0.0000 0.5000  2 Rh 2.37
Ir: 0.5000 0.5000 0.0000  2 Rh 2.37
Rh: 0.5000 0.5000 0.5000  6 Ir 2.37

Results
Energy relative to the elements: 1.111 eV per atom
Final energy: -52.76 eV per atom

=====

energy relative to the elements of number 1 (SrIr3Rh)?
1.111 eV per atom

=====

The highest energy relative to the elements belongs to which entry?
SrIr3Rh

=====

What is the formula in the fourth record?
Ta2IrRh